KGaFeC6N6 | Alexandria via LeMat-Bulk | PBE-GGA | optimized geometry; formation energy from raw total energies = 1 kJ per mole of atoms; ρ = 2.03 g cm⁻³
1.0
0.000 5.081 5.081
5.081 0.000 5.081
5.081 5.081 0.000
K Ga Fe C N
1 1 1 6 6
Cartesian
2.541 2.541 2.541
5.081 5.081 5.081
0.000 0.000 0.000
5.081 5.081 1.873
1.873 5.081 5.081
5.081 1.873 5.081
5.081 5.081 8.289
8.289 5.081 5.081
5.081 8.289 5.081
5.081 5.081 3.050
3.050 5.081 5.081
5.081 3.050 5.081
5.081 5.081 7.112
7.112 5.081 5.081
5.081 7.112 5.081

LaGa2Fe2C | Alexandria via LeMat-Bulk | PBE-GGA | optimized geometry; formation enthalpy at 0 K = -163 kJ/mol of formula units; ρ = 7.55 g cm⁻³
1.0
-1.854 -0.155 3.437
-2.889 -2.051 -1.651
2.769 -4.923 1.271
La Ga Fe C
1 2 2 1
Cartesian
1.385 -2.461 0.635
-0.327 -4.738 1.832
-1.647 -2.391 1.226
-0.927 -0.078 1.719
-1.444 -1.026 -0.825
0.000 0.000 0.000

LaGa4Fe9C | Alexandria via LeMat-Bulk | PBE-GGA | optimized geometry; formation enthalpy at 0 K = -323 kJ/mol of formula units; ρ = 7.61 g cm⁻³
1.0
5.034 5.474 3.677
-6.595 4.744 1.681
0.073 -7.918 2.473
La Ga Fe C
2 8 18 2
Cartesian
-1.171 7.663 4.018
-0.390 2.554 1.339
-3.712 -1.360 4.624
2.224 3.660 3.207
1.840 6.173 4.524
-2.103 4.912 5.781
-1.719 2.399 4.463
-3.328 -3.874 3.306
0.614 -2.613 2.050
0.230 -0.099 3.368
-0.121 4.384 4.253
-1.367 -2.085 3.578
1.008 -2.295 4.671
-5.088 4.432 2.715
-2.496 4.594 3.160
3.600 -2.132 5.115
-1.051 -0.832 1.281
-0.437 3.132 6.550
2.129 -0.051 5.120
-3.617 2.350 2.711
2.435 1.163 2.895
-2.277 0.270 3.225
3.300 2.187 5.037
-3.923 1.136 4.936
0.789 2.030 4.606
-4.788 0.112 2.794
-3.261 -1.587 2.077
2.553 -1.222 3.075
-0.781 5.109 2.679
0.000 0.000 0.000